Ta2InRe, optimized geometry, DFT PBE; space group = F-43m (216); size of the total moment = 0.54 μB/cell; raw total energy = -9.438 eV per atom; ΔE_f = 0.285 eV/atom
1.0
0.0000 3.2921 3.2921
3.2921 0.0000 3.2921
3.2921 3.2921 0.0000
Ta In Re
2 1 1
Direct
0.0000 0.0000 0.0000
0.2500 0.2500 0.2500
0.7500 0.7500 0.7500
0.5000 0.5000 0.5000